# 1
Compound: CrTe2Os
Source: the Alexandria database
Functional: SCAN
Structure: single point on PBEsol structure

Computed properties:
As for the symmetry: Cmmm. The value obtained for the density of states at the Fermi level is 2.4 states/eV/cell. As for the formation energy without anion corrections: 0.531 eV/atom.

Structure (CIF):
```
data_CrTe2Os
_cell_length_a 4.023
_cell_length_b 4.686
_cell_length_c 4.682
_cell_angle_alpha 101.57
_cell_angle_beta 90.00
_cell_angle_gamma 90.00
_space_group_name_H-M_alt 'P 1'
_space_group_IT_number 1
loop_
_space_group_symop_operation_xyz
'x,y,z'
loop_
_atom_site_label
_atom_site_fract_x
_atom_site_fract_y
_atom_site_fract_z
Os1 0.500 0.500 0.000
Te1 0.000 0.273 0.226
Te2 0.000 0.727 0.774
Cr1 0.500 0.000 0.500
```

=====

# 2
Compound: TiCr2Os
Source: the Alexandria database
Functional: SCAN
Structure: single point on PBEsol structure

Computed properties:
As for the symmetry: Fm-3m. The value obtained for the density of states at the Fermi level is 2.4 states/eV/cell. As for the calculated formation energy: -0.2137 eV/atom.

Structure (CIF):
```
data_TiCr2Os
_cell_length_a 4.164
_cell_length_b 4.164
_cell_length_c 4.164
_cell_angle_alpha 60.00
_cell_angle_beta 60.00
_cell_angle_gamma 60.00
_space_group_name_H-M_alt 'P 1'
_space_group_IT_number 1
loop_
_space_group_symop_operation_xyz
'x,y,z'
loop_
_atom_site_label
_atom_site_fract_x
_atom_site_fract_y
_atom_site_fract_z
Ti1 0.000 0.000 0.000
Cr1 0.250 0.250 0.250
Cr2 0.750 0.750 0.750
Os1 0.500 0.500 0.500
```